Record 1
! PBE-GGA GdAl6Ag, relaxed; values from VASP
! **Crystal system**: hexagonal
! **Space group**: P-6m2
&SYSTEM
  ibrav = 0, nat = 8, ntyp = 3
/
ATOMIC_SPECIES
Gd 157.25 Gd.upf
Al 26.98 Al.upf
Ag 107.87 Ag.upf
CELL_PARAMETERS angstrom
6.138 0.000 0.000
-3.069 5.316 0.000
0.000 0.000 4.613
ATOMIC_POSITIONS angstrom
Gd 0.000 0.000 0.000
Al -1.507 2.673 0.000
Al 0.000 1.947 2.307
Al -1.383 4.342 2.307
Al 1.507 2.673 0.000
Al 0.000 5.284 0.000
Al 1.383 4.342 2.307
Ag 3.069 1.772 2.307

Record 2
! PBE-GGA Tb2GdAl3AgGe2, relaxed; values from VASP
! **Crystal system**: orthorhombic
! **Space group**: Amm2
&SYSTEM
  ibrav = 0, nat = 9, ntyp = 5
/
ATOMIC_SPECIES
Tb 158.93 Tb.upf
Gd 157.25 Gd.upf
Al 26.98 Al.upf
Ag 107.87 Ag.upf
Ge 72.64 Ge.upf
CELL_PARAMETERS angstrom
4.307 0.000 0.000
0.000 6.145 3.545
0.000 -6.145 3.545
ATOMIC_POSITIONS angstrom
Tb 0.000 -3.603 3.545
Tb 0.000 3.603 3.545
Gd 0.000 0.000 4.398
Al 2.154 -1.471 2.312
Al 2.154 1.471 2.312
Al 2.154 0.000 6.859
Ag 0.000 0.000 1.457
Ge 2.154 -2.055 5.012
Ge 2.154 2.055 5.012

Record 3
! PBE-GGA TbGd2Al3AgGe2, relaxed; values from VASP
! **Crystal system**: orthorhombic
! **Space group**: Amm2
&SYSTEM
  ibrav = 0, nat = 9, ntyp = 5
/
ATOMIC_SPECIES
Tb 158.93 Tb.upf
Gd 157.25 Gd.upf
Al 26.98 Al.upf
Ag 107.87 Ag.upf
Ge 72.64 Ge.upf
CELL_PARAMETERS angstrom
4.301 0.000 0.000
0.000 6.142 3.548
0.000 -6.142 3.548
ATOMIC_POSITIONS angstrom
Tb 0.000 0.000 0.000
Gd 0.000 -2.537 2.699
Gd 0.000 2.537 2.699
Al 2.150 0.000 2.465
Al 2.150 -1.469 5.017
Al 2.150 1.469 5.017
Ag 0.000 0.000 4.173
Ge 2.150 -4.101 4.164
Ge 2.150 4.101 4.164

Record 4
! PBE-GGA Gd2TmAl3AgGe2, relaxed; values from VASP
! **Crystal system**: orthorhombic
! **Space group**: Amm2
&SYSTEM
  ibrav = 0, nat = 9, ntyp = 5
/
ATOMIC_SPECIES
Gd 157.25 Gd.upf
Tm 168.93 Tm.upf
Al 26.98 Al.upf
Ag 107.87 Ag.upf
Ge 72.64 Ge.upf
CELL_PARAMETERS angstrom
4.295 0.000 0.000
0.000 6.092 3.541
0.000 -6.092 3.541
ATOMIC_POSITIONS angstrom
Gd 0.000 -3.572 3.541
Gd 0.000 3.572 3.541
Tm 0.000 0.000 4.417
Al 2.148 -1.459 2.323
Al 2.148 1.459 2.323
Al 2.148 0.000 6.869
Ag 0.000 0.000 1.531
Ge 2.148 -1.999 5.004
Ge 2.148 1.999 5.004

Calculated final energy in order - -3.85 -4.76 -4.76 -4.73 eV/atom
Calculated V in order - 150.5 187.7 187.5 185.3 Å³ per cell